Record 1
The following is a DFT calculation (PBE) of a relaxed structure of TbFe2.

Cell lengths 5.1676, 5.1676, 8.3389 Å; angles 90.00, 90.00, 120.00 degrees
Atoms (fractional coordinates):
Tb 0.3333 0.6667 0.0622
Tb 0.3333 0.6667 0.4378
Tb 0.6667 0.3333 0.5622
Tb 0.6667 0.3333 0.9378
Fe 0.0000 0.0000 0.0000
Fe 0.0000 0.0000 0.5000
Fe 0.1646 0.3291 0.7500
Fe 0.1646 0.8354 0.7500
Fe 0.3291 0.1646 0.2500
Fe 0.6709 0.8354 0.7500
Fe 0.8354 0.1646 0.2500
Fe 0.8354 0.6709 0.2500

Properties
SG: P6_3/mmc, No. 194
total DFT energy (no corrections): -7.12 eV per atom
calculated density: 9.321 g cm⁻³
M_tot: 13.9 Bohr magnetons per cell

---

Record 2
The following is a DFT calculation (PBE) of a relaxed structure of Tb2Fe.

Cell lengths 5.9050, 5.9050, 5.9050 Å; angles 60.00, 60.00, 60.00 degrees
Atoms (fractional coordinates):
Tb 0.0000 0.0000 0.0000
Tb 0.0000 0.0000 0.5000
Tb 0.0000 0.5000 0.0000
Tb 0.5000 0.0000 0.0000
Fe 0.3750 0.3750 0.3750
Fe 0.6250 0.6250 0.6250

Properties
SG: Fd-3m, No. 227
total DFT energy (no corrections): -4.48 eV per atom
calculated density: 8.524 g cm⁻³
M_tot: 0.0 Bohr magnetons per cell

---

Record 3
The following is a DFT calculation (PBE) of a relaxed structure of Tb3Fe2.

Cell lengths 7.2703, 7.2703, 7.2703 Å; angles 54.55, 54.55, 54.55 degrees
Atoms (fractional coordinates):
Tb 0.1353 0.7500 0.3647
Tb 0.2500 0.6353 0.8647
Tb 0.3647 0.1353 0.7500
Tb 0.6353 0.8647 0.2500
Tb 0.7500 0.3647 0.1353
Tb 0.8647 0.2500 0.6353
Fe 0.1897 0.1897 0.1897
Fe 0.3103 0.3103 0.3103
Fe 0.6897 0.6897 0.6897
Fe 0.8103 0.8103 0.8103

Properties
SG: R-3c, No. 167
total DFT energy (no corrections): -5.93 eV per atom
calculated density: 8.239 g cm⁻³
M_tot: 4.9 Bohr magnetons per cell

---

Record 4
The following is a DFT calculation (PBE) of a relaxed structure of TbThFe.

Cell lengths 6.6918, 6.6918, 6.6918 Å; angles 90.00, 90.00, 90.00 degrees
Atoms (fractional coordinates):
Tb 0.0000 0.0000 0.0000
Tb 0.0000 0.5000 0.5000
Tb 0.5000 0.0000 0.5000
Tb 0.5000 0.5000 0.0000
Th 0.0000 0.0000 0.5000
Th 0.0000 0.5000 0.0000
Th 0.5000 0.0000 0.0000
Th 0.5000 0.5000 0.5000
Fe 0.2500 0.2500 0.2500
Fe 0.2500 0.7500 0.7500
Fe 0.7500 0.2500 0.7500
Fe 0.7500 0.7500 0.2500

Properties
SG: F-43m, No. 216
total DFT energy (no corrections): -6.64 eV per atom
calculated density: 9.904 g cm⁻³
M_tot: 0.0 Bohr magnetons per cell

---

Record 5
The following is a DFT calculation (PBE) of a relaxed structure of TbYTlFe2.

Cell lengths 3.9020, 3.8325, 13.9797 Å; angles 90.00, 90.00, 90.00 degrees
Atoms (fractional coordinates):
Tb 0.0000 0.0000 0.0000
Tb 0.0000 0.5000 0.5000
Y 0.0000 0.0000 0.2749
Y 0.0000 0.5000 0.7749
Tl 0.5000 0.0000 0.6380
Tl 0.5000 0.5000 0.1380
Fe 0.5000 0.0000 0.4275
Fe 0.5000 0.0000 0.8493
Fe 0.5000 0.5000 0.3493
Fe 0.5000 0.5000 0.9275

Properties
SG: Amm2, No. 38
total DFT energy (no corrections): -6.16 eV per atom
calculated density: 8.958 g cm⁻³
M_tot: 3.2 Bohr magnetons per cell

---

Record 6
The following is a DFT calculation (PBE) of a relaxed structure of TbTmFe4.

Cell lengths 5.0906, 5.0906, 5.0906 Å; angles 60.00, 60.00, 60.00 degrees
Atoms (fractional coordinates):
Tb 0.0000 0.0000 0.0000
Tm 0.7500 0.7500 0.7500
Fe 0.3752 0.3752 0.3752
Fe 0.3752 0.3752 0.8745
Fe 0.3752 0.8745 0.3752
Fe 0.8745 0.3752 0.3752

Properties
SG: F-43m, No. 216
total DFT energy (no corrections): -7.15 eV per atom
calculated density: 9.813 g cm⁻³
M_tot: 6.5 Bohr magnetons per cell

---

Record 7
The following is a DFT calculation (PBE) of a relaxed structure of TbFeW.

Cell lengths 6.1539, 6.1539, 6.1539 Å; angles 90.00, 90.00, 90.00 degrees
Atoms (fractional coordinates):
Tb 0.0000 0.0000 0.0000
Tb 0.0000 0.5000 0.5000
Tb 0.5000 0.0000 0.5000
Tb 0.5000 0.5000 0.0000
Fe 0.2500 0.2500 0.2500
Fe 0.2500 0.7500 0.7500
Fe 0.7500 0.2500 0.7500
Fe 0.7500 0.7500 0.2500
W 0.0000 0.0000 0.5000
W 0.0000 0.5000 0.0000
W 0.5000 0.0000 0.0000
W 0.5000 0.5000 0.5000

Properties
SG: F-43m, No. 216
total DFT energy (no corrections): -7.95 eV per atom
calculated density: 11.361 g cm⁻³
M_tot: 0.0 Bohr magnetons per cell

---

Record 8
The following is a DFT calculation (PBE) of a relaxed structure of TbZnFe.

Cell lengths 6.1971, 6.1971, 6.1971 Å; angles 90.00, 90.00, 90.00 degrees
Atoms (fractional coordinates):
Tb 0.0000 0.0000 0.0000
Tb 0.0000 0.5000 0.5000
Tb 0.5000 0.0000 0.5000
Tb 0.5000 0.5000 0.0000
Zn 0.2500 0.2500 0.7500
Zn 0.2500 0.7500 0.2500
Zn 0.7500 0.2500 0.2500
Zn 0.7500 0.7500 0.7500
Fe 0.0000 0.0000 0.5000
Fe 0.0000 0.5000 0.0000
Fe 0.5000 0.0000 0.0000
Fe 0.5000 0.5000 0.5000

Properties
SG: F-43m, No. 216
total DFT energy (no corrections): -4.38 eV per atom
calculated density: 7.819 g cm⁻³
M_tot: 7.5 Bohr magnetons per cell